[1]
{
  "formula": "ZrSe2Br",
  "functional": "PBE",
  "state": "relaxed",
  "raw_formation_energy_kj_per_mol_atoms": -9,
  "density_g_cm3": 6.39,
  "magnetic_moment_mub_per_cell": 0.00,
  "polymorph_energy_mev_per_atom": 875,
  "lattice_angstrom": [[4.972, 0.000, 0.000], [0.000, 4.972, 0.000], [0.000, 0.000, 3.458]],
  "species": ["Zr", "Se", "Se", "Br"],
  "frac_coords": [[0.000, 0.000, 0.000], [0.000, 0.500, 0.500], [0.500, 0.000, 0.500], [0.500, 0.500, 0.000]]
}

---

[2]
{
  "formula": "ZrSe2Br",
  "functional": "PBE",
  "state": "relaxed",
  "raw_formation_energy_kj_per_mol_atoms": -31,
  "density_g_cm3": 6.40,
  "magnetic_moment_mub_per_cell": 0.00,
  "polymorph_energy_mev_per_atom": 648,
  "lattice_angstrom": [[6.990, 0.000, 0.000], [0.000, 6.990, 0.000], [0.000, 0.000, 6.990]],
  "species": ["Zr", "Zr", "Zr", "Zr", "Se", "Se", "Se", "Se", "Se", "Se", "Se", "Se", "Br", "Br", "Br", "Br"],
  "frac_coords": [[0.000, 0.000, 0.000], [0.000, 0.500, 0.500], [0.500, 0.000, 0.500], [0.500, 0.500, 0.000], [0.250, 0.250, 0.250], [0.250, 0.250, 0.750], [0.250, 0.750, 0.250], [0.250, 0.750, 0.750], [0.750, 0.250, 0.250], [0.750, 0.250, 0.750], [0.750, 0.750, 0.250], [0.750, 0.750, 0.750], [0.000, 0.000, 0.500], [0.000, 0.500, 0.000], [0.500, 0.000, 0.000], [0.500, 0.500, 0.500]]
}

---

[3]
{
  "formula": "ZrSe2Br",
  "functional": "PBE",
  "state": "relaxed",
  "raw_formation_energy_kj_per_mol_atoms": -79,
  "density_g_cm3": 4.93,
  "magnetic_moment_mub_per_cell": 2.12,
  "polymorph_energy_mev_per_atom": 152,
  "lattice_angstrom": [[3.736, 0.000, 0.000], [-1.868, 3.235, 0.000], [0.000, 0.000, 27.541]],
  "species": ["Zr", "Zr", "Zr", "Se", "Se", "Se", "Se", "Se", "Se", "Br", "Br", "Br"],
  "frac_coords": [[0.000, 0.000, 0.000], [0.333, 0.667, 0.667], [0.667, 0.333, 0.333], [0.000, 0.000, 0.274], [0.000, 0.000, 0.726], [0.333, 0.667, 0.392], [0.333, 0.667, 0.941], [0.667, 0.333, 0.059], [0.667, 0.333, 0.608], [0.000, 0.000, 0.500], [0.333, 0.667, 0.167], [0.667, 0.333, 0.833]]
}